VASP calculation (PBE-GGA) on a relaxed structure of Pr3Ho2Er3.

Output
Fermi-level density of states = 13.10 states/eV/cell
energy relative to the elements = 0.0871 eV per atom
crystal system = monoclinic
relative energy among the computed polymorphs = 62 meV/atom

a = 5.7215 Å, b = 6.0285 Å, c = 8.6759 Å
α = 109.09°, β = 109.25°, γ = 90.00°
Positions (direct):
1 Er 0.8671 0.4187 0.7342
2 Er 0.1329 0.5813 0.2658
3 Er 0.0000 0.0000 0.0000
4 Pr 0.6356 0.1997 0.2712
5 Pr 0.5000 0.5000 0.0000
6 Pr 0.3644 0.8003 0.7288
7 Ho 0.2499 0.1806 0.4997
8 Ho 0.7501 0.8194 0.5003

---

VASP calculation (PBE-GGA) on a relaxed structure of HOsBrF.

Output
Fermi-level density of states = 0.95 states/eV/cell
crystal system = orthorhombic
relative energy among the computed polymorphs = 30 meV/atom

a = 3.2006 Å, b = 3.5994 Å, c = 10.7096 Å
α = 90.00°, β = 90.00°, γ = 90.00°
Positions (direct):
1 F 0.0000 0.0000 0.4884
2 F 0.5000 0.5000 0.9884
3 Br 0.5000 0.5000 0.7217
4 Br 0.0000 0.0000 0.2217
5 Os 0.0000 0.5000 0.3691
6 Os 0.5000 0.0000 0.8691
7 H 0.0000 0.0000 0.8087
8 H 0.5000 0.5000 0.3087

---

VASP calculation (PBE-GGA) on a relaxed structure of AuI2Br2.

Output
Fermi-level density of states = 8.67 states/eV/cell
crystal system = monoclinic
relative energy among the computed polymorphs = 33 meV/atom

a = 5.7986 Å, b = 5.7984 Å, c = 8.0394 Å
α = 68.66°, β = 68.71°, γ = 90.01°
Positions (direct):
1 I 0.6024 0.4023 0.1959
2 I 0.7978 0.5977 0.8041
3 Br 0.0263 0.8264 0.3469
4 Br 0.3735 0.1736 0.6532
5 Au 0.1999 0.0000 0.0000

---

VASP calculation (PBE-GGA) on a relaxed structure of LiZn2Au7.

Output
Fermi-level density of states = 2.98 states/eV/cell
energy relative to the elements = -0.0636 eV per atom
crystal system = orthorhombic
relative energy among the computed polymorphs = 86 meV/atom

a = 4.5398 Å, b = 7.4413 Å, c = 7.4413 Å
α = 119.74°, β = 90.00°, γ = 90.00°
Positions (direct):
1 Au 0.5000 0.2974 0.0747
2 Au 0.5000 0.5000 0.5000
3 Au 0.5000 0.9253 0.7026
4 Au 0.0000 0.7995 0.2005
5 Au 0.5000 0.0747 0.2974
6 Au 0.0000 0.2005 0.7995
7 Au 0.5000 0.7026 0.9253
8 Li 0.0000 0.0000 0.0000
9 Zn 0.5000 0.2967 0.7033
10 Zn 0.5000 0.7033 0.2967

---

Q: Which of these has the lowest Fermi-level density of states?
A: HOsBrF

---

Q: Which of these has the highest Fermi-level density of states?
A: Pr3Ho2Er3

---

Q: Fermi-level density of states of number 4 (LiZn2Au7)?
A: 2.98 states/eV/cell